VASP calculation (PBE+U) on a relaxed structure of CsCr2PtO8.

The structure belongs to space group P-3 (No. 147); the cell edges are 5.2118, 5.2118 and 8.8388 Å and the angles 90.00°, 90.00° and 120.00°. The asymmetric unit holds Cs at (0.0000, 0.0000, 0.0000), Cr at (0.3333, 0.6667, 0.6956), Pt at (0.0000, 0.0000, 0.5000), O at (0.0477, 0.3344, 0.6353) and O at (0.3333, 0.6667, 0.8808).

The density of states at the Fermi level comes out at 3.546 states/eV/cell. Its total energy is -0.2302 hartree per atom.